{"formula": "Rb2UInTe5", "functional": "PBE-GGA", "state": "relaxed", "lattice": [[4.499, 0.000, 0.000], [-2.250, 10.855, 0.000], [0.000, 0.000, 15.478]], "species": ["Rb", "Rb", "Rb", "Rb", "U", "U", "In", "In", "Te", "Te", "Te", "Te", "Te", "Te", "Te", "Te", "Te", "Te"], "fractional_positions": [[0.875, 0.749, 0.826], [0.125, 0.250, 0.687], [0.125, 0.251, 0.326], [0.875, 0.750, 0.187], [0.798, 0.597, 0.524], [0.202, 0.403, 0.024], [0.564, 0.128, 0.926], [0.436, 0.872, 0.426], [0.332, 0.664, 0.007], [0.696, 0.392, 0.887], [0.503, 0.007, 0.772], [0.300, 0.601, 0.652], [0.942, 0.885, 0.543], [0.668, 0.336, 0.507], [0.304, 0.608, 0.387], [0.497, 0.993, 0.272], [0.700, 0.399, 0.152], [0.058, 0.115, 0.043]], "e_tot_ev_per_atom": -4.21, "raw_formation_energy_ev_per_atom": -0.70, "density_g_cm3": 5.10}

=====

{"formula": "Rb2YInTe4", "functional": "PBE-GGA", "state": "relaxed", "lattice": [[-4.007, -6.260, -1.548], [1.542, -4.100, -6.031], [2.133, -6.627, 2.661]], "species": ["Rb", "Rb", "Y", "In", "Te", "Te", "Te", "Te"], "fractional_positions": [[0.000, 0.500, 0.500], [0.500, 0.500, 0.500], [0.000, 0.000, 0.000], [0.500, 0.000, 0.000], [0.089, 0.347, 0.000], [0.911, 0.000, 0.653], [0.564, 0.000, 0.347], [0.436, 0.653, 0.000]], "e_tot_ev_per_atom": -3.93, "raw_formation_energy_ev_per_atom": -0.97, "density_g_cm3": 4.70}

=====

{"formula": "Rb4Y3InTe8", "functional": "PBE-GGA", "state": "relaxed", "lattice": [[-0.646, 7.488, -5.033], [-5.783, -4.908, -6.560], [-2.764, 0.087, 8.613]], "species": ["Rb", "Rb", "Rb", "Rb", "Y", "Y", "Y", "In", "Te", "Te", "Te", "Te", "Te", "Te", "Te", "Te"], "fractional_positions": [[0.500, 0.000, 0.000], [0.500, 0.000, 0.500], [0.000, 0.000, 0.000], [0.000, 0.000, 0.500], [0.500, 0.500, 0.000], [0.500, 0.500, 0.500], [0.000, 0.500, 0.500], [0.000, 0.500, 0.000], [0.230, 0.697, 0.966], [0.230, 0.697, 0.461], [0.267, 0.300, 0.533], [0.736, 0.697, 0.966], [0.264, 0.303, 0.034], [0.733, 0.700, 0.467], [0.770, 0.303, 0.539], [0.770, 0.303, 0.034]], "e_tot_ev_per_atom": -4.38, "raw_formation_energy_ev_per_atom": -1.18, "density_g_cm3": 4.78}

=====

{"formula": "RbYInTe3", "functional": "PBE-GGA", "state": "relaxed", "lattice": [[-3.532, 1.324, 2.117], [2.867, -4.789, 7.776], [4.396, 11.168, 0.349]], "species": ["Rb", "Rb", "Y", "Y", "In", "In", "Te", "Te", "Te", "Te", "Te", "Te"], "fractional_positions": [[0.250, 0.229, 0.281], [0.750, 0.771, 0.719], [0.250, 0.636, 0.153], [0.750, 0.364, 0.847], [0.250, 0.123, 0.572], [0.750, 0.877, 0.428], [0.750, 0.882, 0.190], [0.250, 0.118, 0.810], [0.250, 0.662, 0.421], [0.750, 0.338, 0.579], [0.750, 0.396, 0.110], [0.250, 0.604, 0.890]], "e_tot_ev_per_atom": -4.25, "raw_formation_energy_ev_per_atom": -0.99, "density_g_cm3": 4.76}

=====

{"formula": "Rb2ZrInTe4", "functional": "PBE-GGA", "state": "relaxed", "lattice": [[-3.015, 2.025, 6.526], [-7.201, -3.863, 2.145], [5.230, -8.226, 9.242]], "species": ["Rb", "Rb", "Rb", "Rb", "Zr", "Zr", "In", "In", "Te", "Te", "Te", "Te", "Te", "Te", "Te", "Te"], "fractional_positions": [[0.183, 0.000, 0.635], [0.817, 0.000, 0.365], [0.567, 0.500, 0.865], [0.933, 0.500, 0.135], [0.750, 0.500, 0.500], [0.000, 0.000, 0.000], [0.250, 0.500, 0.500], [0.500, 0.000, 0.000], [0.275, 0.792, 0.116], [0.184, 0.208, 0.884], [0.932, 0.792, 0.884], [0.609, 0.208, 0.116], [0.475, 0.708, 0.384], [0.566, 0.292, 0.616], [0.818, 0.708, 0.616], [0.141, 0.292, 0.384]], "e_tot_ev_per_atom": -3.98, "raw_formation_energy_ev_per_atom": -0.76, "density_g_cm3": 4.04}

=====

{"formula": "RbThIn2", "functional": "PBE-GGA", "state": "relaxed", "lattice": [[-3.013, 1.905, 0.199], [-0.345, -0.174, -3.549], [-5.491, -8.785, 0.964]], "species": ["Rb", "Th", "In", "In"], "fractional_positions": [[0.500, 0.500, 0.500], [0.500, 0.500, 0.000], [0.000, 0.000, 0.781], [0.000, 0.000, 0.219]], "e_tot_ev_per_atom": -3.54, "density_g_cm3": 6.85}

=====

{"formula": "RbTiIn", "functional": "PBE-GGA", "state": "relaxed", "lattice": [[-3.163, -0.506, 9.212], [1.606, -2.878, 0.393], [10.255, 6.250, 3.865]], "species": ["Ti", "Ti", "Ti", "Ti", "Rb", "Rb", "Rb", "Rb", "In", "In", "In", "In"], "fractional_positions": [[0.068, 0.250, 0.442], [0.432, 0.750, 0.942], [0.932, 0.750, 0.558], [0.568, 0.250, 0.058], [0.067, 0.250, 0.836], [0.433, 0.750, 0.336], [0.933, 0.750, 0.164], [0.567, 0.250, 0.664], [0.772, 0.250, 0.403], [0.728, 0.750, 0.903], [0.228, 0.750, 0.597], [0.272, 0.250, 0.097]], "e_tot_ev_per_atom": -3.47, "polymorph_energy_mev_per_atom": 297, "density_g_cm3": 4.04}

=====

{"formula": "RbTiIn2", "functional": "PBE-GGA", "state": "relaxed", "lattice": [[6.059, 0.000, 0.000], [0.000, 6.059, 0.000], [3.029, 3.029, 9.496]], "species": ["Ti", "Ti", "Rb", "Rb", "In", "In", "In", "In"], "fractional_positions": [[0.500, 0.500, 0.000], [0.250, 0.750, 0.500], [0.000, 0.000, 0.000], [0.750, 0.250, 0.500], [0.374, 0.125, 0.250], [0.376, 0.625, 0.250], [0.375, 0.626, 0.750], [0.875, 0.624, 0.750]], "e_tot_ev_per_atom": -3.06, "polymorph_energy_mev_per_atom": 0, "density_g_cm3": 3.46}

=====

{"formula": "RbTiIn", "functional": "PBE-GGA", "state": "relaxed", "lattice": [[-2.902, -0.907, -3.454], [-3.631, -1.323, 3.375], [-2.474, 8.448, -0.136]], "species": ["Ti", "Ti", "Rb", "Rb", "In", "In"], "fractional_positions": [[0.250, 0.327, 0.486], [0.750, 0.673, 0.514], [0.748, 0.257, 0.142], [0.252, 0.743, 0.858], [0.751, 0.197, 0.662], [0.249, 0.803, 0.338]], "e_tot_ev_per_atom": -3.55, "polymorph_energy_mev_per_atom": 218, "density_g_cm3": 3.97}

=====

{"formula": "RbTiIn3", "functional": "PBE-GGA", "state": "relaxed", "lattice": [[-0.962, 0.141, 5.438], [2.826, -4.706, 0.622], [4.649, 2.890, 0.748]], "species": ["Ti", "Rb", "In", "In", "In"], "fractional_positions": [[0.000, 0.000, 0.000], [0.500, 0.500, 0.500], [0.000, 0.500, 0.000], [0.000, 0.000, 0.500], [0.500, 0.000, 0.000]], "e_tot_ev_per_atom": -3.24, "density_g_cm3": 4.71}

=====

{"formula": "RbTiIn", "functional": "PBE-GGA", "state": "relaxed", "lattice": [[-1.900, 0.263, 2.529], [0.092, -9.475, 1.076], [3.948, -1.719, 5.122]], "species": ["Ti", "Ti", "Rb", "Rb", "In", "In"], "fractional_positions": [[0.652, 0.473, 0.851], [0.323, 0.621, 0.508], [0.467, 0.098, 0.257], [0.636, 0.846, 0.884], [0.235, 0.267, 0.686], [0.958, 0.480, 0.242]], "e_tot_ev_per_atom": -3.53, "polymorph_energy_mev_per_atom": 233, "density_g_cm3": 4.48}

=====

{"formula": "RbTiIn", "functional": "PBE-GGA", "state": "relaxed", "lattice": [[10.846, 0.000, -0.059], [0.000, 4.742, 0.000], [-1.115, 0.000, 4.844]], "species": ["Ti", "Ti", "Rb", "Rb", "In", "In"], "fractional_positions": [[0.500, 0.238, 0.000], [0.500, 0.738, 0.000], [0.175, 0.488, 0.838], [0.825, 0.988, 0.162], [0.401, 0.988, 0.450], [0.599, 0.488, 0.550]], "e_tot_ev_per_atom": -3.55, "polymorph_energy_mev_per_atom": 220, "density_g_cm3": 3.31}